[1]
# Ti3TcO | Alexandria via LeMat-Bulk | PBE | optimized geometry
data_Ti3TcO
_chemical_formula_sum 'Ti3 Tc1 O1'
_cell_length_a 4.689
_cell_length_b 4.689
_cell_length_c 4.689
_cell_angle_alpha 90.00
_cell_angle_beta 90.00
_cell_angle_gamma 90.00
_symmetry_space_group_name_H-M 'P m -3 m'
_symmetry_Int_Tables_number 221
_symmetry_space_group_name_Hall '-P 4 2 3'
loop_
_atom_site_label
_atom_site_type_symbol
_atom_site_fract_x
_atom_site_fract_y
_atom_site_fract_z
_atom_site_occupancy
Ti1 Ti 0.000 0.000 0.500 1
Tc1 Tc 0.000 0.000 0.000 1
O1 O 0.500 0.500 0.500 1
# distance to the lowest polymorph of the same formula	1942	meV/atom
# energy relative to the elements, uncorrected	0.85	eV per atom
# E	-6.955	eV/atom
# crystal system	cubic


[2]
# TiTcO2 | Alexandria via LeMat-Bulk | PBE | optimized geometry
data_TiTcO2
_chemical_formula_sum 'Ti4 Tc4 O8'
_cell_length_a 4.001
_cell_length_b 4.001
_cell_length_c 11.706
_cell_angle_alpha 90.00
_cell_angle_beta 90.00
_cell_angle_gamma 90.00
_symmetry_space_group_name_H-M 'I -4 2 d'
_symmetry_Int_Tables_number 122
_symmetry_space_group_name_Hall 'I -4 2bw'
loop_
_atom_site_label
_atom_site_type_symbol
_atom_site_fract_x
_atom_site_fract_y
_atom_site_fract_z
_atom_site_occupancy
Ti1 Ti 0.000 0.000 0.000 1
Tc1 Tc 0.000 0.000 0.500 1
O1 O 0.238 0.250 0.125 1
# distance to the lowest polymorph of the same formula	348	meV/atom
# energy relative to the elements, uncorrected	-1.40	eV per atom
# E	-8.444	eV/atom
# crystal system	tetragonal


[3]
# Ti4TcO2 | Alexandria via LeMat-Bulk | PBE | optimized geometry
data_Ti4TcO2
_chemical_formula_sum 'Ti16 Tc4 O8'
_cell_length_a 3.087
_cell_length_b 10.593
_cell_length_c 10.864
_cell_angle_alpha 90.00
_cell_angle_beta 90.00
_cell_angle_gamma 90.00
_symmetry_space_group_name_H-M 'C m c m'
_symmetry_Int_Tables_number 63
_symmetry_space_group_name_Hall '-C 2c 2'
loop_
_atom_site_label
_atom_site_type_symbol
_atom_site_fract_x
_atom_site_fract_y
_atom_site_fract_z
_atom_site_occupancy
Ti1 Ti 0.000 0.000 0.000 1
Ti2 Ti 0.000 0.270 0.106 1
Ti3 Ti 0.000 0.416 0.750 1
Tc1 Tc 0.000 0.106 0.750 1
O1 O 0.000 0.370 0.561 1
# energy relative to the elements, uncorrected	-1.53	eV per atom
# E	-8.938	eV/atom
# crystal system	orthorhombic


[4]
# Ti2TcO | Alexandria via LeMat-Bulk | PBE | optimized geometry
data_Ti2TcO
_chemical_formula_sum 'Ti6 Tc3 O3'
_cell_length_a 2.9160
_cell_length_b 2.9160
_cell_length_c 21.6612
_cell_angle_alpha 90.00
_cell_angle_beta 90.00
_cell_angle_gamma 120.00
_symmetry_space_group_name_H-M 'R -3 m'
_symmetry_Int_Tables_number 166
_symmetry_space_group_name_Hall '-R 3 2"'
loop_
_atom_site_label
_atom_site_type_symbol
_atom_site_fract_x
_atom_site_fract_y
_atom_site_fract_z
_atom_site_occupancy
Ti1 Ti 0.0000 0.0000 0.1061 1
Tc1 Tc 0.0000 0.0000 0.0000 1
O1 O 0.0000 0.0000 0.5000 1
# energy relative to the elements, uncorrected	-0.99	eV per atom
# E	-8.772	eV/atom
# crystal system	trigonal